Below is crystalline Tl2HgAuBr6 at its relaxed geometry, with properties calculated at the PBE-GGA level.

Calculated values
density: 6.69 g/cm3
calculated total energy: -22.71 eV for the cell shown

Lattice parameters (Å, degrees): 7.6711 7.6711 7.6711 60.00 60.00 60.00
Atoms (fractional coordinates):
Tl 0.2500 0.2500 0.2500
Tl 0.7500 0.7500 0.7500
Hg 0.0000 0.0000 0.0000
Au 0.5000 0.5000 0.5000
Br 0.2542 0.2542 0.7458
Br 0.2542 0.7458 0.2542
Br 0.2542 0.7458 0.7458
Br 0.7458 0.2542 0.2542
Br 0.7458 0.2542 0.7458
Br 0.7458 0.7458 0.2542